Run 1
Pm4HgRu after structural relaxation, computed with PBE-GGA.

Lattice parameters (Å, degrees): 9.820 9.820 9.820 60.00 60.00 60.00
Sites, in units of the cell vectors:
Pm (0.403, 0.403, 0.403)
Pm (0.792, 0.403, 0.403)
Pm (0.403, 0.792, 0.403)
Pm (0.403, 0.403, 0.792)
Pm (0.559, 0.559, 0.941)
Pm (0.941, 0.941, 0.559)
Pm (0.559, 0.941, 0.559)
Pm (0.941, 0.559, 0.941)
Pm (0.941, 0.559, 0.559)
Pm (0.559, 0.941, 0.941)
Pm (0.189, 0.189, 0.811)
Pm (0.811, 0.811, 0.189)
Pm (0.189, 0.811, 0.189)
Pm (0.811, 0.189, 0.811)
Pm (0.811, 0.189, 0.189)
Pm (0.189, 0.811, 0.811)
Hg (0.167, 0.167, 0.167)
Hg (0.500, 0.167, 0.167)
Hg (0.167, 0.500, 0.167)
Hg (0.167, 0.167, 0.500)
Ru (0.612, 0.612, 0.612)
Ru (0.164, 0.612, 0.612)
Ru (0.612, 0.164, 0.612)
Ru (0.612, 0.612, 0.164)


Run 2
Pm4HgRu after structural relaxation, computed with PBE-GGA.

Lattice parameters (Å, degrees): 6.399 9.347 7.800 115.06 98.84 115.35
Sites, in units of the cell vectors:
Pm (0.114, 0.206, 0.835)
Pm (0.765, 0.724, 0.663)
Pm (0.221, 0.629, 0.835)
Pm (0.398, 0.939, 0.663)
Pm (0.602, 0.061, 0.337)
Pm (0.779, 0.371, 0.165)
Pm (0.235, 0.276, 0.337)
Pm (0.886, 0.794, 0.165)
Hg (0.375, 0.625, 0.250)
Hg (0.625, 0.375, 0.750)
Ru (0.249, 0.999, 0.999)
Ru (0.751, 0.001, 0.001)


run 1 comes first in stability; the runner-up is 0.026 eV/atom higher.